*one*
# MgCdTc2

MgCdTc2 after structural relaxation (GGA-PBEsol, the Alexandria database).

The space group is P4mm (No. 99) and the conventional cell measures 3.0023, 3.0023 and 7.3256 Å, with angles of 90.00, 90.00 and 90.00 degrees. The asymmetric unit holds Mg at (0.0000, 0.0000, 0.0000), Cd at (0.5000, 0.5000, 0.7096), Tc at (0.0000, 0.0000, 0.4372) and Tc at (0.5000, 0.5000, 0.2509).

The density of states at the Fermi level comes out at 1.5 states/eV/cell.



*two*
# MgCdTc2

MgCdTc2 after structural relaxation (GGA-PBEsol, the Alexandria database).

The space group is I4/mmm (No. 139) and the conventional cell measures 3.7491, 3.7491 and 9.0289 Å, with angles of 90.00, 90.00 and 90.00 degrees. The asymmetric unit holds Mg at (0.0000, 0.0000, 0.0000), Cd at (0.0000, 0.0000, 0.5000) and Tc at (0.0000, 0.5000, 0.2500).

The density of states at the Fermi level comes out at 7.9 states/eV/cell.



*three*
# MgCdTc2

MgCdTc2 after structural relaxation (GGA-PBEsol, the Alexandria database).

The space group is P4/mmm (No. 123) and the conventional cell measures 2.6591, 2.6591 and 9.0194 Å, with angles of 90.00, 90.00 and 90.00 degrees. The asymmetric unit holds Mg at (0.0000, 0.0000, 0.0000), Cd at (0.0000, 0.0000, 0.5000) and Tc at (0.5000, 0.5000, 0.2455).

The density of states at the Fermi level comes out at 3.6 states/eV/cell.



It is *three* that is the least stable of them.